# PBE MgZr2Hg2, optimized geometry
# - Symmetry: No. 127
# - Magnetization: 0.02 μB per formula unit
# - Calculated formation energy: 0.09 eV/atom
# - Total DFT energy (no corrections): -18.85 eV per formula unit
data_MgZr2Hg2
_cell_length_a 8.552
_cell_length_b 8.552
_cell_length_c 3.225
_cell_angle_alpha 90.00
_cell_angle_beta 90.00
_cell_angle_gamma 90.00
_symmetry_space_group_name_H-M 'P 1'
_symmetry_Int_Tables_number 1
_symmetry_space_group_name_Hall 'P 1'
loop_
_atom_site_label
_atom_site_type_symbol
_atom_site_fract_x
_atom_site_fract_y
_atom_site_fract_z
Mg1 Mg 0.000 0.000 0.000
Mg2 Mg 0.500 0.500 0.000
Zr1 Zr 0.124 0.376 0.000
Zr2 Zr 0.376 0.876 0.000
Zr3 Zr 0.624 0.124 0.000
Zr4 Zr 0.876 0.624 0.000
Hg1 Hg 0.173 0.673 0.500
Hg2 Hg 0.327 0.173 0.500
Hg3 Hg 0.673 0.827 0.500
Hg4 Hg 0.827 0.327 0.500